# 1
A geometry-optimized Li3HAu structure, computed with PBE.

## Properties
Excess energy over the best structure of this formula in the dataset, meV per atom: 169
Calculated total energy, eV/atom: -2.7236

```
data_Li3HAu
_chemical_formula_sum 'Li12 H4 Au4'
_symmetry_space_group_name_H-M 'I -4 m 2'
_symmetry_Int_Tables_number 119
_symmetry_space_group_name_Hall 'I -4 -2'
_cell_length_a 5.320
_cell_length_b 5.320
_cell_length_c 10.102
_cell_angle_alpha 90.00
_cell_angle_beta 90.00
_cell_angle_gamma 90.00
loop_
_atom_site_label
_atom_site_type_symbol
_atom_site_fract_x
_atom_site_fract_y
_atom_site_fract_z
Li1 Li 0.000 0.000 0.132
Li2 Li 0.000 0.254 0.609
H1 H 0.000 0.000 0.500
H2 H 0.000 0.500 0.750
Au1 Au 0.000 0.500 0.114
```

# 2
A geometry-optimized Li3HAu structure, computed with PBE.

## Properties
Excess energy over the best structure of this formula in the dataset, meV per atom: 2
Calculated total energy, eV/atom: -2.8907

```
data_Li3HAu
_chemical_formula_sum 'Li6 H2 Au2'
_symmetry_space_group_name_H-M 'P 1'
_symmetry_Int_Tables_number 1
_symmetry_space_group_name_Hall 'P 1'
_cell_length_a 2.784
_cell_length_b 4.153
_cell_length_c 10.842
_cell_angle_alpha 90.00
_cell_angle_beta 97.32
_cell_angle_gamma 90.00
loop_
_atom_site_label
_atom_site_type_symbol
_atom_site_fract_x
_atom_site_fract_y
_atom_site_fract_z
Li1 Li 0.000 0.000 0.000
Li2 Li 0.055 0.500 0.132
Li3 Li 0.179 0.500 0.373
Li4 Li 0.307 0.502 0.630
Li5 Li 0.744 0.002 0.501
Li6 Li 0.872 0.001 0.758
H1 H 0.305 0.000 0.625
H2 H 0.746 0.500 0.507
Au1 Au 0.441 0.500 0.888
Au2 Au 0.613 0.000 0.244
```